[1]
! Tl3Hg2Pb5, optimized geometry, DFT PBE; values from VASP
! Energy of formation from the pure elements: 55 meV per atom
! Distance to the lowest polymorph of the same formula: 0.45 eV/f.u.
&SYSTEM
  ibrav = 0, nat = 20, ntyp = 3
/
ATOMIC_SPECIES
Tl 204.38 Tl.upf
Hg 200.59 Hg.upf
Pb 207.20 Pb.upf
ATOMIC_POSITIONS crystal
Tl 0.394 0.351 0.862
Tl 0.606 0.649 0.138
Tl 0.894 0.862 0.351
Tl 0.250 0.000 0.000
Tl 0.750 0.000 0.000
Tl 0.106 0.138 0.649
Hg 0.323 0.147 0.207
Hg 0.677 0.853 0.793
Hg 0.823 0.207 0.147
Hg 0.177 0.793 0.853
Pb 0.072 0.678 0.678
Pb 0.250 0.500 0.500
Pb 0.583 0.189 0.646
Pb 0.428 0.322 0.322
Pb 0.417 0.811 0.354
Pb 0.572 0.678 0.678
Pb 0.083 0.646 0.189
Pb 0.750 0.500 0.500
Pb 0.928 0.322 0.322
Pb 0.917 0.354 0.811
CELL_PARAMETERS angstrom
6.844 0.000 0.000
3.422 10.684 1.558
3.422 4.338 9.887

---

[2]
! TlHg3Pb7, optimized geometry, DFT PBE; values from VASP
! Energy of formation from the pure elements: 41 meV per atom
&SYSTEM
  ibrav = 0, nat = 11, ntyp = 3
/
ATOMIC_SPECIES
Pb 207.20 Pb.upf
Hg 200.59 Hg.upf
Tl 204.38 Tl.upf
ATOMIC_POSITIONS crystal
Pb 0.099 0.672 0.836
Pb 0.464 0.838 0.162
Pb 0.099 0.164 0.836
Pb 0.464 0.838 0.677
Pb 0.464 0.323 0.162
Pb 0.128 0.667 0.333
Pb 0.099 0.164 0.328
Hg 0.782 0.996 0.498
Hg 0.782 0.502 0.004
Hg 0.782 0.502 0.498
Tl 0.451 0.333 0.667
CELL_PARAMETERS angstrom
-7.341 0.663 -3.290
-2.683 -3.898 5.200
0.335 6.991 0.661

---

[3]
! Tl9HgPb2, optimized geometry, DFT PBE; values from VASP
! Energy of formation from the pure elements: 15 meV per atom
&SYSTEM
  ibrav = 0, nat = 12, ntyp = 3
/
ATOMIC_SPECIES
Hg 200.59 Hg.upf
Pb 207.20 Pb.upf
Tl 204.38 Tl.upf
ATOMIC_POSITIONS crystal
Hg 0.000 0.000 0.000
Pb 0.000 0.000 0.671
Pb 0.000 0.000 0.329
Tl 0.000 0.500 0.832
Tl 0.000 0.500 0.168
Tl 0.000 0.500 0.500
Tl 0.500 0.000 0.168
Tl 0.500 0.500 0.665
Tl 0.500 0.000 0.500
Tl 0.500 0.500 0.335
Tl 0.500 0.000 0.832
Tl 0.500 0.500 0.000
CELL_PARAMETERS angstrom
4.838 0.000 0.000
0.000 4.838 0.000
0.000 0.000 15.721